CaSbI2O | GGA-PBE | optimized geometry

a = 5.2509 Å, b = 5.2509 Å, c = 4.7358 Å
α = 90.00°, β = 90.00°, γ = 90.00°
With the nearest neighbours (Å) after each atom.
Fractional coordinates of all 5 atoms:
I: 0.5000 0.0000 0.0000  2 O 2.63
Sb: 0.0000 0.0000 0.5000  2 O 2.37
I: 0.0000 0.5000 0.0000  2 O 2.63
Ca: 0.5000 0.5000 0.5000  8 I 3.54, 4 Sb 3.71
O: 0.0000 0.0000 0.0000  2 Sb 2.37, 4 I 2.63

Results
The value obtained for the final energy is -3.197 eV per atom. The calculation puts the density of states at the Fermi level at 0.92 states/eV/cell.


Pr2Dy3PuS6 | GGA-PBE | optimized geometry

a = 3.9483 Å, b = 8.0363 Å, c = 8.9255 Å
α = 103.70°, β = 102.78°, γ = 90.00°
With the nearest neighbours (Å) after each atom.
Fractional coordinates of all 12 atoms:
Pu: 0.5000 0.0000 0.0000  6 S 2.83-2.84
Dy: 0.5000 0.5000 0.0000  6 S 2.75-2.80
S: 0.3323 0.9273 0.6647  3 Dy 2.74-2.79, 1 Pu 2.83, 2 Pr 2.88
S: 0.3371 0.4058 0.6743  3 Dy 2.75-2.76, 3 Pr 2.90
S: 0.6677 0.0727 0.3353  3 Dy 2.74-2.79, 1 Pu 2.83, 2 Pr 2.88
Pr: 0.1656 0.3319 0.3313  6 S 2.87-2.90
S: 0.0043 0.7488 0.0087  3 Dy 2.75-2.80, 2 Pu 2.84, 1 Pr 2.87
Pr: 0.8344 0.6681 0.6687  6 S 2.87-2.90
Dy: 0.1672 0.8360 0.3344  6 S 2.74-2.79
Dy: 0.8328 0.1640 0.6656  6 S 2.74-2.79
S: 0.9957 0.2512 0.9913  3 Dy 2.75-2.80, 2 Pu 2.84, 1 Pr 2.87
S: 0.6629 0.5942 0.3257  3 Dy 2.75-2.76, 3 Pr 2.90

Results
The value obtained for the final energy is -7.188 eV per atom. The calculation puts the density of states at the Fermi level at 8.18 states/eV/cell.


MoWSe4 | GGA-PBE | optimized geometry

a = 7.1411 Å, b = 5.7928 Å, c = 8.0720 Å
α = 103.52°, β = 109.93°, γ = 106.42°
With the nearest neighbours (Å) after each atom.
Fractional coordinates of all 12 atoms:
Se: 0.8199 0.0803 0.6140  1 Mo 2.46, 2 W 2.53-2.58
Se: 0.5047 0.2080 0.8934  1 Mo 2.41
Se: 0.1113 0.3146 0.1066  1 Mo 2.41
W: 0.5446 0.2946 0.5891  6 Se 2.53-2.71, 1 Mo 2.74
Se: 0.8887 0.6854 0.8934  1 Mo 2.41
Se: 0.2941 0.5337 0.6140  1 Mo 2.46, 2 W 2.53-2.58
Mo: 0.3507 0.1007 0.2014  4 Se 2.41-2.46
W: 0.4554 0.7054 0.4109  6 Se 2.53-2.71, 1 Mo 2.74
Se: 0.7059 0.4663 0.3860  1 Mo 2.46, 2 W 2.53-2.58
Se: 0.4953 0.7920 0.1066  1 Mo 2.41
Se: 0.1801 0.9197 0.3860  1 Mo 2.46, 2 W 2.53-2.58
Mo: 0.6493 0.8993 0.7986  4 Se 2.41-2.46

Results
The value obtained for the final energy is -6.607 eV per atom. The calculation puts the density of states at the Fermi level at 1.37 states/eV/cell.


Mg2Zr4Sc | GGA-PBE | optimized geometry

a = 3.1063 Å, b = 3.0948 Å, c = 17.2736 Å
α = 90.00°, β = 95.13°, γ = 89.99°
With the nearest neighbours (Å) after each atom.
Fractional coordinates of all 7 atoms:
Zr: 0.0716 0.5000 0.1437  8 Zr 3.09-3.17, 4 Sc 3.30
Zr: 0.6362 0.0000 0.2769  8 Zr 3.09-3.17, 4 Mg 3.30
Zr: 0.3638 0.0000 0.7231  8 Zr 3.09-3.17, 4 Mg 3.30
Mg: 0.2074 0.5001 0.4206  6 Mg 3.09-3.15, 4 Zr 3.30
Zr: 0.9284 0.5000 0.8563  8 Zr 3.09-3.17, 4 Sc 3.30
Mg: 0.7926 0.4999 0.5794  6 Mg 3.09-3.15, 4 Zr 3.30
Sc: 0.5000 0.0000 0.0000  4 Sc 3.09-3.11, 8 Zr 3.30

Results
Its formation energy is 47 meV/atom. The calculation puts the density of states at the Fermi level at 10.29 states/eV/cell.


Li3Er2USe6 | GGA-PBE | optimized geometry

a = 7.0213 Å, b = 7.0213 Å, c = 6.9257 Å
α = 99.73°, β = 99.73°, γ = 119.99°
With the nearest neighbours (Å) after each atom.
Fractional coordinates of all 12 atoms:
Se: 0.4233 0.0848 0.2546  3 Li 2.80-2.85, 2 Er 2.86, 1 U 2.90
Se: 0.2532 0.2532 0.7448  3 Li 2.80-2.86, 2 Er 2.86, 1 U 2.90
Li: 0.5000 0.5000 0.5000  6 Se 2.80-2.85
Li: 0.1678 0.8322 0.5000  6 Se 2.80-2.86
Li: 0.8322 0.1678 0.5000  6 Se 2.80-2.86
Se: 0.7468 0.7468 0.2552  3 Li 2.80-2.86, 2 Er 2.86, 1 U 2.90
Se: 0.0848 0.4233 0.2546  3 Li 2.80-2.85, 2 Er 2.86, 1 U 2.90
U: 0.0000 0.0000 0.0000  6 Se 2.90
Er: 0.6665 0.3335 0.0000  6 Se 2.86
Se: 0.9152 0.5767 0.7454  3 Li 2.80-2.85, 2 Er 2.86, 1 U 2.90
Er: 0.3335 0.6665 0.0000  6 Se 2.86
Se: 0.5767 0.9152 0.7454  3 Li 2.80-2.85, 2 Er 2.86, 1 U 2.90

Results
The value obtained for the final energy is -5.421 eV per atom. The calculation puts the density of states at the Fermi level at 6.53 states/eV/cell.


LiFe2As | GGA-PBE | optimized geometry

a = 2.6862 Å, b = 3.7750 Å, c = 5.1085 Å
α = 90.00°, β = 90.00°, γ = 90.00°
With the nearest neighbours (Å) after each atom.
Fractional coordinates of all 4 atoms:
Li: 0.5000 0.5000 0.2500  2 As 2.55, 8 Fe 2.64, 2 Li 2.69
As: 0.5000 0.5000 0.7500  2 Li 2.55, 8 Fe 2.65, 2 As 2.69
Fe: 0.0000 0.0000 0.4997  4 Fe 2.55-2.69, 4 Li 2.64, 4 As 2.65
Fe: 0.0000 0.0000 0.0003  4 Fe 2.55-2.69, 4 Li 2.64, 4 As 2.65

Results
Its formation energy is 136 meV/atom. The calculation puts the density of states at the Fermi level at 3.20 states/eV/cell.


Cd3Tc | GGA-PBE | optimized geometry

a = 10.4508 Å, b = 10.4508 Å, c = 10.4508 Å
α = 16.30°, β = 16.30°, γ = 16.30°
With the nearest neighbours (Å) after each atom.
Fractional coordinates of all 4 atoms:
Cd: 0.4922 0.4922 0.4922  3 Tc 2.90, 6 Cd 2.96
Cd: 0.2500 0.2500 0.2500  12 Cd 2.96-3.30
Cd: 0.0078 0.0078 0.0078  3 Tc 2.90, 6 Cd 2.96
Tc: 0.7500 0.7500 0.7500  6 Cd 2.90, 6 Tc 2.96

Results
Its formation energy is 332 meV/atom. The calculation puts the density of states at the Fermi level at 2.54 states/eV/cell.


CeDyCdOs | GGA-PBE | optimized geometry

a = 5.0632 Å, b = 5.0632 Å, c = 5.0632 Å
α = 60.00°, β = 60.00°, γ = 60.00°
With the nearest neighbours (Å) after each atom.
Fractional coordinates of all 4 atoms:
Ce: 0.0000 0.0000 0.0000  4 Cd 3.10, 4 Os 3.10
Dy: 0.5000 0.5000 0.5000  4 Os 3.10, 4 Cd 3.10
Os: 0.2500 0.2500 0.2500  4 Ce 3.10, 4 Dy 3.10
Cd: 0.7500 0.7500 0.7500  4 Ce 3.10, 4 Dy 3.10

Results
Its formation energy is -130 meV/atom. The calculation puts the density of states at the Fermi level at 3.85 states/eV/cell.


HfVInRh | GGA-PBE | optimized geometry

a = 4.6202 Å, b = 4.6202 Å, c = 4.6202 Å
α = 60.00°, β = 60.00°, γ = 60.00°
With the nearest neighbours (Å) after each atom.
Fractional coordinates of all 4 atoms:
In: 0.0000 0.0000 0.0000  4 V 2.83, 4 Rh 2.83
Rh: 0.2500 0.2500 0.2500  4 In 2.83, 4 Hf 2.83
Hf: 0.5000 0.5000 0.5000  4 Rh 2.83, 4 V 2.83
V: 0.7500 0.7500 0.7500  4 In 2.83, 4 Hf 2.83

Results
Its formation energy is -379 meV/atom. The calculation puts the density of states at the Fermi level at 0.24 states/eV/cell.


FeHPd2Pt | GGA-PBE | optimized geometry

a = 3.9658 Å, b = 3.9658 Å, c = 3.9755 Å
α = 90.00°, β = 90.00°, γ = 90.00°
With the nearest neighbours (Å) after each atom.
Fractional coordinates of all 5 atoms:
Pt: 0.0000 0.0000 0.5000  2 H 1.99
H: 0.0000 0.0000 0.0000  4 Pd 1.98, 2 Pt 1.99
Fe: 0.5000 0.5000 0.5000  4 Pt 2.80, 8 Pd 2.81
Pd: 0.5000 0.0000 0.0000  2 H 1.98
Pd: 0.0000 0.5000 0.0000  2 H 1.98

Results
The value obtained for the final energy is -5.717 eV per atom. The calculation puts the density of states at the Fermi level at 3.75 states/eV/cell.


Cs3NaGe2O6 | GGA-PBE | optimized geometry

a = 6.4748 Å, b = 6.4748 Å, c = 7.8759 Å
α = 90.00°, β = 90.00°, γ = 120.00°
With the nearest neighbours (Å) after each atom.
Fractional coordinates of all 12 atoms:
O: 0.1804 0.3607 0.2874  1 Ge 1.72
O: 0.1804 0.8196 0.2874  1 Ge 1.72
Cs: 0.6667 0.3333 0.2703  6 O 3.24, 1 Ge 3.49
Na: 0.0000 0.0000 0.5000  6 O 2.63
Ge: 0.6667 0.3333 0.7134  3 O 1.72
O: 0.3607 0.1804 0.7126  1 Ge 1.72
O: 0.8196 0.6393 0.7126  1 Ge 1.72
O: 0.8196 0.1804 0.7126  1 Ge 1.72
Ge: 0.3333 0.6667 0.2866  3 O 1.72
Cs: 0.0000 0.0000 0.0000  6 O 3.04
O: 0.6393 0.8196 0.2874  1 Ge 1.72
Cs: 0.3333 0.6667 0.7297  6 O 3.24, 1 Ge 3.49

Results
The value obtained for the final energy is -5.127 eV per atom. The calculation puts the density of states at the Fermi level at 0.00 states/eV/cell.


RbAlSn3 | GGA-PBE | optimized geometry

a = 6.0772 Å, b = 6.0772 Å, c = 6.0772 Å
α = 90.00°, β = 90.00°, γ = 90.00°
With the nearest neighbours (Å) after each atom.
Fractional coordinates of all 5 atoms:
Sn: 0.0000 0.5000 0.0000  2 Rb 3.04
Sn: 0.5000 0.0000 0.0000  2 Rb 3.04
Al: 0.5000 0.5000 0.5000  12 Sn 4.30
Sn: 0.0000 0.0000 0.5000  2 Rb 3.04
Rb: 0.0000 0.0000 0.0000  6 Sn 3.04

Results
Its formation energy is 1409 meV/atom. The calculation puts the density of states at the Fermi level at 3.78 states/eV/cell.


In3GaOs | GGA-PBE | optimized geometry

a = 5.1964 Å, b = 5.1964 Å, c = 5.1964 Å
α = 90.00°, β = 90.00°, γ = 90.00°
With the nearest neighbours (Å) after each atom.
Fractional coordinates of all 5 atoms:
Os: 0.0000 0.0000 0.0000  6 In 2.60
Ga: 0.5000 0.5000 0.5000  12 In 3.67
In: 0.5000 0.0000 0.0000  2 Os 2.60
In: 0.0000 0.0000 0.5000  2 Os 2.60
In: 0.0000 0.5000 0.0000  2 Os 2.60

Results
Its formation energy is 301 meV/atom. The calculation puts the density of states at the Fermi level at 1.87 states/eV/cell.


Sm2Mg2InPd5 | GGA-PBE | optimized geometry

a = 3.7403 Å, b = 10.2070 Å, c = 10.2070 Å
α = 90.00°, β = 90.00°, γ = 90.00°
With the nearest neighbours (Å) after each atom.
Fractional coordinates of all 20 atoms:
Pd: 0.5000 0.5000 0.0000  4 Mg 2.56
Mg: 0.0000 0.1213 0.6213  6 Pd 2.56-2.66
Pd: 0.5000 0.0000 0.5000  4 Mg 2.56
Pd: 0.5000 0.9402 0.2040  2 Mg 2.66, 2 In 2.86
Sm: 0.0000 0.8229 0.6771  3 Mg 2.91-3.10, 2 Pd 3.17
Pd: 0.5000 0.2960 0.5598  2 Mg 2.66, 2 In 2.86
Pd: 0.5000 0.7960 0.9402  2 Mg 2.66, 2 In 2.86
In: 0.0000 0.0000 0.0000  8 Pd 2.86
Pd: 0.5000 0.4402 0.2960  2 Mg 2.66, 2 In 2.86
Pd: 0.5000 0.7040 0.4402  2 Mg 2.66, 2 In 2.86
Sm: 0.0000 0.6771 0.1771  3 Mg 2.91-3.10, 2 Pd 3.17
In: 0.0000 0.5000 0.5000  8 Pd 2.86
Sm: 0.0000 0.1771 0.3229  3 Mg 2.91-3.10, 2 Pd 3.17
Pd: 0.5000 0.0598 0.7960  2 Mg 2.66, 2 In 2.86
Mg: 0.0000 0.3787 0.1213  6 Pd 2.56-2.66
Mg: 0.0000 0.6213 0.8787  6 Pd 2.56-2.66
Pd: 0.5000 0.5598 0.7040  2 Mg 2.66, 2 In 2.86
Sm: 0.0000 0.3229 0.8229  3 Mg 2.91-3.10, 2 Pd 3.17
Mg: 0.0000 0.8787 0.3787  6 Pd 2.56-2.66
Pd: 0.5000 0.2040 0.0598  2 Mg 2.66, 2 In 2.86

Results
Its formation energy is -592 meV/atom. The calculation puts the density of states at the Fermi level at 11.25 states/eV/cell.


SmHo4ErTm2 | GGA-PBE | optimized geometry

a = 9.4394 Å, b = 9.4394 Å, c = 11.6689 Å
α = 128.18°, β = 128.18°, γ = 88.94°
With the nearest neighbours (Å) after each atom.
Fractional coordinates of all 16 atoms:
Er: 0.5000 0.5000 0.5000  6 Ho 3.32-3.38, 2 Er 3.37
Ho: 0.7468 0.7524 0.0002  3 Tm 3.27-3.36, 1 Sm 3.34, 2 Ho 3.37, 2 Er 3.37-3.38
Ho: 0.7476 0.2490 0.9985  3 Tm 3.30-3.36, 1 Er 3.32, 2 Ho 3.34-3.39, 2 Sm 3.37-3.38
Tm: 0.5000 0.0000 0.0000  6 Ho 3.27-3.36, 2 Sm 3.37
Ho: 0.2510 0.7524 0.5015  3 Tm 3.30-3.36, 1 Er 3.32, 2 Ho 3.34-3.39, 2 Sm 3.37-3.38
Sm: 0.0000 0.5000 0.5000  6 Ho 3.34-3.38, 2 Tm 3.37
Tm: 0.5000 0.5000 0.0000  6 Ho 3.30-3.36, 2 Tm 3.37
Ho: 0.2524 0.7510 0.0015  3 Tm 3.30-3.36, 1 Er 3.32, 2 Ho 3.34-3.39, 2 Sm 3.37-3.38
Sm: 0.0000 0.5000 0.0000  6 Ho 3.34-3.38, 2 Tm 3.37
Ho: 0.2524 0.2468 0.5002  3 Tm 3.27-3.36, 1 Sm 3.34, 2 Ho 3.37, 2 Er 3.37-3.38
Tm: 0.5000 0.0000 0.5000  6 Ho 3.27-3.36, 2 Sm 3.37
Tm: 0.0000 0.0000 0.5000  6 Ho 3.30-3.36, 2 Tm 3.37
Ho: 0.7476 0.7532 0.4998  3 Tm 3.27-3.36, 1 Sm 3.34, 2 Ho 3.37, 2 Er 3.37-3.38
Er: 0.0000 0.0000 0.0000  6 Ho 3.32-3.38, 2 Er 3.37
Ho: 0.7490 0.2476 0.4985  3 Tm 3.30-3.36, 1 Er 3.32, 2 Ho 3.34-3.39, 2 Sm 3.37-3.38
Ho: 0.2532 0.2476 0.9998  3 Tm 3.27-3.36, 1 Sm 3.34, 2 Ho 3.37, 2 Er 3.37-3.38

Results
Its formation energy is 450 meV/atom. The calculation puts the density of states at the Fermi level at 33.55 states/eV/cell.


Rb2UZnO6 | GGA-PBE | optimized geometry

a = 6.3349 Å, b = 6.3367 Å, c = 6.3366 Å
α = 54.20°, β = 54.21°, γ = 80.24°
With the nearest neighbours (Å) after each atom.
Fractional coordinates of all 10 atoms:
O: 0.7008 0.7007 0.9999  1 U 1.94
Rb: 0.7498 0.2499 0.5002  12 O 2.93-3.17
Zn: 0.0000 0.0000 0.0000  4 O 1.98
U: 0.5000 0.5000 0.0000  6 O 1.94-2.11
O: 0.2992 0.2993 0.0001  1 U 1.94
O: 0.7579 0.2423 0.9999  1 Zn 1.98, 1 U 2.11
O: 0.2420 0.2420 0.5159  1 Zn 1.98, 1 U 2.11
O: 0.7580 0.7580 0.4841  1 Zn 1.98, 1 U 2.11
Rb: 0.2502 0.7501 0.4998  12 O 2.93-3.17
O: 0.2421 0.7577 0.0001  1 Zn 1.98, 1 U 2.11

Results
The value obtained for the final energy is -6.356 eV per atom. The calculation puts the density of states at the Fermi level at 5.81 states/eV/cell.


AlAs2SeN | GGA-PBE | optimized geometry

a = 4.3086 Å, b = 4.3086 Å, c = 4.5674 Å
α = 90.00°, β = 90.00°, γ = 90.00°
With the nearest neighbours (Å) after each atom.
Fractional coordinates of all 5 atoms:
N: 0.0000 0.0000 0.0000  4 As 2.15, 2 Se 2.28
As: 0.5000 0.0000 0.0000  2 N 2.15
Se: 0.0000 0.0000 0.5000  2 N 2.28
As: 0.0000 0.5000 0.0000  2 N 2.15
Al: 0.5000 0.5000 0.5000  4 Se 3.05, 8 As 3.14

Results
The value obtained for the final energy is -4.226 eV per atom. The calculation puts the density of states at the Fermi level at 2.82 states/eV/cell.


KZn2Te | GGA-PBE | optimized geometry

a = 5.7075 Å, b = 5.7075 Å, c = 5.7075 Å
α = 129.18°, β = 129.18°, γ = 74.72°
With the nearest neighbours (Å) after each atom.
Fractional coordinates of all 4 atoms:
Zn: 0.5000 0.5000 0.0000  4 Te 3.34, 4 K 3.34, 4 Zn 3.46
Zn: 0.0000 0.0000 0.0000  4 Te 3.34, 4 K 3.34, 4 Zn 3.46
Te: 0.7500 0.2500 0.5000  8 Zn 3.34, 4 K 3.46
K: 0.2500 0.7500 0.5000  8 Zn 3.34, 4 Te 3.46

Results
The value obtained for the final energy is -1.736 eV per atom. The calculation puts the density of states at the Fermi level at 1.50 states/eV/cell.


SbAs2IrBr | GGA-PBE | optimized geometry

a = 4.8231 Å, b = 4.8231 Å, c = 5.2064 Å
α = 90.00°, β = 90.00°, γ = 90.00°
With the nearest neighbours (Å) after each atom.
Fractional coordinates of all 5 atoms:
Ir: 0.0000 0.0000 0.0000  4 As 2.41, 2 Br 2.60
As: 0.0000 0.5000 0.0000  2 Ir 2.41
Br: 0.0000 0.0000 0.5000  2 Ir 2.60
As: 0.5000 0.0000 0.0000  2 Ir 2.41
Sb: 0.5000 0.5000 0.5000  4 Br 3.41, 8 As 3.55

Results
The value obtained for the final energy is -4.287 eV per atom. The calculation puts the density of states at the Fermi level at 6.20 states/eV/cell.


Ca2Cu12As7 | GGA-PBE | optimized geometry

a = 4.0076 Å, b = 9.8247 Å, c = 9.8247 Å
α = 120.00°, β = 90.00°, γ = 90.00°
With the nearest neighbours (Å) after each atom.
Fractional coordinates of all 21 atoms:
As: 0.7410 0.5862 0.8846  7 Cu 2.47-2.66
As: 0.7410 0.1154 0.7016  7 Cu 2.47-2.66
As: 0.2590 0.7016 0.5862  7 Cu 2.47-2.66
As: 0.2590 0.4138 0.1154  7 Cu 2.47-2.66
Cu: 0.7800 0.2612 0.1436  4 As 2.49-2.66, 2 Cu 2.65-2.72
Cu: 0.7800 0.8824 0.7388  4 As 2.49-2.66, 2 Cu 2.65-2.72
Cu: 0.7613 0.0529 0.4250  4 As 2.47-2.51, 2 Cu 2.65-2.72
Cu: 0.2387 0.6280 0.0529  4 As 2.47-2.51, 2 Cu 2.65-2.72
Cu: 0.2200 0.1436 0.8824  4 As 2.49-2.66, 2 Cu 2.65-2.72
Cu: 0.2387 0.4250 0.3720  4 As 2.47-2.51, 2 Cu 2.65-2.72
As: 0.7410 0.2984 0.4138  7 Cu 2.47-2.66
Ca: 0.7513 0.6667 0.3333  6 As 3.05-3.09, 6 Cu 3.24-3.30
Cu: 0.2200 0.1176 0.2612  4 As 2.49-2.66, 2 Cu 2.65-2.72
Cu: 0.7613 0.3720 0.9471  4 As 2.47-2.51, 2 Cu 2.65-2.72
As: 0.2590 0.8846 0.2984  7 Cu 2.47-2.66
Ca: 0.2487 0.3333 0.6667  6 As 3.05-3.09, 6 Cu 3.24-3.30
Cu: 0.2200 0.7388 0.8564  4 As 2.49-2.66, 2 Cu 2.65-2.72
Cu: 0.7800 0.8564 0.1176  4 As 2.49-2.66, 2 Cu 2.65-2.72
As: 0.5000 0.0000 0.0000  6 Cu 2.49
Cu: 0.2387 0.9471 0.5750  4 As 2.47-2.51, 2 Cu 2.65-2.72
Cu: 0.7613 0.5750 0.6280  4 As 2.47-2.51, 2 Cu 2.65-2.72

Results
Its formation energy is -212 meV/atom. The calculation puts the density of states at the Fermi level at 7.75 states/eV/cell.